(1)
An optimized crystal structure of NbCuSi. Source: the Alexandria database, functional PBE.

It has space group I4/mmm (No. 139), with a = 3.605 Å, b = 3.605 Å, c = 13.176 Å, α = 90.00°, β = 90.00° and γ = 90.00°. The asymmetric unit holds Nb at (0.000, 0.000, 0.177), Cu at (0.000, 0.500, 0.000) and Si at (0.000, 0.000, 0.375).

The calculation puts the total energy at -7.00 eV/atom. Its magnetization is 0.00 μB/f.u. The calculation puts the formation energy from raw total energies at -1.42 eV/f.u.

(2)
An optimized crystal structure of NaTaCd. Source: the Alexandria database, functional PBE.

It has space group P6/mmm (No. 191), with a = 4.7218 Å, b = 4.7218 Å, c = 6.6108 Å, α = 90.00°, β = 90.00° and γ = 120.00°. The asymmetric unit holds Na at (0.3333, 0.6667, 0.0000), Ta at (0.3333, 0.6667, 0.5000) and Cd at (0.0000, 0.0000, 0.2777).

For the formation energy, the calculation gives 0.44 eV per atom. The calculation puts the total energy at -4.26 eV/atom. Its magnetization is 0.00 μB/f.u. As for the energy above the lowest structure with this stoichiometry: 0.3021 eV per atom.

(3)
An optimized crystal structure of LuTiAl2. Source: the Alexandria database, functional PBE.

It has space group P4/mmm (No. 123), with a = 4.257 Å, b = 4.257 Å, c = 4.230 Å, α = 90.00°, β = 90.00° and γ = 90.00°. The asymmetric unit holds Lu at (0.000, 0.000, 0.000), Ti at (0.500, 0.500, 0.000) and Al at (0.000, 0.500, 0.500).

For the formation energy, the calculation gives -0.27 eV per atom. The calculation puts the total energy at -5.25 eV/atom. Its magnetization is 1.33 μB/f.u. As for the energy above the lowest structure with this stoichiometry: 0.0417 eV per atom.

> Number 2 is which compound?

NaTaCd

Repeat the first record exactly.
An optimized crystal structure of NbCuSi. Source: the Alexandria database, functional PBE.

It has space group I4/mmm (No. 139), with a = 3.605 Å, b = 3.605 Å, c = 13.176 Å, α = 90.00°, β = 90.00° and γ = 90.00°. The asymmetric unit holds Nb at (0.000, 0.000, 0.177), Cu at (0.000, 0.500, 0.000) and Si at (0.000, 0.000, 0.375).

The calculation puts the total energy at -7.00 eV/atom. Its magnetization is 0.00 μB/f.u. The calculation puts the formation energy from raw total energies at -1.42 eV/f.u.

> Which value of magnetization does entry 1 give?

0.00 μB/f.u.

> Which formula does entry 1 have?

NbCuSi